(1)
# GGA-PBE MnIn6Cl8, optimized geometry
data_MnIn6Cl8
_cell_length_a 9.6205
_cell_length_b 9.6205
_cell_length_c 17.8543
_cell_angle_alpha 90.00
_cell_angle_beta 90.00
_cell_angle_gamma 120.00
_space_group_name_H-M_alt 'R -3'
_space_group_IT_number 148
_space_group_name_Hall '-R 3'
loop_
_atom_site_label
_atom_site_fract_x
_atom_site_fract_y
_atom_site_fract_z
Mn1 0.0000 0.0000 0.0000
In1 0.0272 0.6308 0.9212
Cl1 0.0000 0.0000 0.3069
Cl2 0.0135 0.2261 0.9200
# Spin magnetization   0.333 μB per atom
# Raw formation energy   -0.864 eV per atom
# N(E_F)   0.000 states/eV per cell

=====

(2)
# GGA-PBE Ta3W, optimized geometry
data_Ta3W
_cell_length_a 3.8789
_cell_length_b 3.8789
_cell_length_c 19.0916
_cell_angle_alpha 90.00
_cell_angle_beta 90.00
_cell_angle_gamma 90.00
_space_group_name_H-M_alt 'I 4/m m m'
_space_group_IT_number 139
_space_group_name_Hall '-I 4 2'
loop_
_atom_site_label
_atom_site_fract_x
_atom_site_fract_y
_atom_site_fract_z
Ta1 0.0000 0.0000 0.1249
Ta2 0.0000 0.5000 0.0000
Ta3 0.0000 0.5000 0.2500
W1 0.0000 0.0000 0.3750
# E_form   0.185 eV/atom
# Spin magnetization   0.000 μB per atom
# N(E_F)   16.423 states/eV per cell

=====

(3)
# GGA-PBE Ag8SnAu5, optimized geometry
data_Ag8SnAu5
_cell_length_a 8.0169
_cell_length_b 8.0169
_cell_length_c 8.5348
_cell_angle_alpha 90.00
_cell_angle_beta 90.00
_cell_angle_gamma 90.00
_space_group_name_H-M_alt 'I -4'
_space_group_IT_number 82
_space_group_name_Hall 'I -4'
loop_
_atom_site_label
_atom_site_fract_x
_atom_site_fract_y
_atom_site_fract_z
Ag1 0.0677 0.1666 0.3434
Ag2 0.1024 0.3291 0.9912
Sn1 0.0000 0.0000 0.0000
Au1 0.0000 0.5000 0.2500
Au2 0.1228 0.2897 0.6674
# E_form   0.076 eV/atom
# Spin magnetization   0.000 μB per atom
# N(E_F)   11.866 states/eV per cell

=====

(4)
# GGA-PBE KZr2Rh, optimized geometry
data_KZr2Rh
_cell_length_a 4.1311
_cell_length_b 4.1311
_cell_length_c 26.4168
_cell_angle_alpha 90.00
_cell_angle_beta 90.00
_cell_angle_gamma 120.00
_space_group_name_H-M_alt 'R -3 m'
_space_group_IT_number 166
_space_group_name_Hall '-R 3 2"'
loop_
_atom_site_label
_atom_site_fract_x
_atom_site_fract_y
_atom_site_fract_z
K1 0.0000 0.0000 0.0000
Zr1 0.0000 0.0000 0.2088
Rh1 0.0000 0.0000 0.5000
# E_form   0.118 eV/atom
# Spin magnetization   0.000 μB per atom
# Energy above the most stable polymorph in this dataset   102 meV per atom
# N(E_F)   14.730 states/eV per cell